The following is a PBE calculation of a geometry-optimized EuMg2H5 structure, from Alexandria.

Cell: 3.5395 3.5395 8.0079 Å, 90.00 90.00 90.00°
Last column: nearest neighbours and their distance in Å.
Atoms (fractional coordinates):
1 H 0.5000 0.0000 0.7942  2 Mg 1.93
2 H 0.5000 0.5000 0.0000  2 Mg 2.41, 8 H 2.42, 4 Eu 2.50
3 H 0.0000 0.5000 0.7942  2 Mg 1.93
4 H 0.5000 0.0000 0.2058  2 Mg 1.93
5 H 0.0000 0.5000 0.2058  2 Mg 1.93
6 Eu 0.0000 0.0000 0.0000  12 H 2.42-2.50
7 Mg 0.5000 0.5000 0.3016  4 H 1.93
8 Mg 0.5000 0.5000 0.6984  4 H 1.93

Computed properties:
VASP energy = -0.148 Ha/atom
Total magnetic moment = 6.74 μB/cell